1.
# KInH4 PBE relaxed
data_KInH4
_chemical_formula_sum 'K4 In4 H16'
_symmetry_space_group_name_H-M 'P 1 21/c 1'
_symmetry_Int_Tables_number 14
_cell_length_a 7.3234
_cell_length_b 7.7365
_cell_length_c 9.1437
_cell_angle_alpha 90.00
_cell_angle_beta 127.48
_cell_angle_gamma 90.00
loop_
_symmetry_equiv_pos_as_xyz
'x,y,z'
'-x,-y,-z'
'-x,y+1/2,-z+1/2'
'x,-y+1/2,z+1/2'
loop_
_atom_site_label
_atom_site_type_symbol
_atom_site_fract_x
_atom_site_fract_y
_atom_site_fract_z
K1 K 0.1753 0.1587 0.2777
In1 In 0.3053 0.6682 0.1933
H1 H 0.1059 0.6564 0.6138
H2 H 0.1976 0.5017 0.2550
H3 H 0.3112 0.6120 0.0069
H4 H 0.4087 0.2265 0.1232
# N(E_F): 0.0 states/eV/cell
# DFT total energy: -2.93 eV per atom
# Total magnetic moment: 0.0 μB per formula unit



2.
# K2InH PBE relaxed
data_K2InH
_chemical_formula_sum 'K6 In3 H3'
_symmetry_space_group_name_H-M 'R -3 m'
_symmetry_Int_Tables_number 166
_symmetry_space_group_name_Hall '-R 3 2"'
_cell_length_a 3.7531
_cell_length_b 3.7531
_cell_length_c 30.7401
_cell_angle_alpha 90.00
_cell_angle_beta 90.00
_cell_angle_gamma 120.00
loop_
_atom_site_label
_atom_site_type_symbol
_atom_site_fract_x
_atom_site_fract_y
_atom_site_fract_z
K1 K 0.0000 0.0000 0.1114
In1 In 0.0000 0.0000 0.0000
H1 H 0.0000 0.0000 0.5000
# N(E_F): 4.0 states/eV/cell
# DFT total energy: -2.01 eV per atom
# Total magnetic moment: 0.0 μB per formula unit
# Relative energy among the computed polymorphs: 0.0 kJ/mol of formula units